A relaxed Pt2Au crystal, computed with PBE-GGA.

Output
The total magnetization is 0.00 Bohr magnetons per cell. Its energy above the most stable polymorph in this dataset is 0.378 eV per formula unit. The calculated formation energy is 0.17 eV per atom. The total energy comes out at -44.581 eV/cell.

a b c (Å): 7.8977 7.8977 2.7698
angles (deg): 90.00 90.00 120.00
Closest atoms and distances in Å follow each position.
Fractional coordinates of all 9 atoms:
Pt (0.3109, 0.0000, 0.0000)  4 Au 2.73-2.82, 8 Pt 2.77-2.99
Pt (0.6435, 0.0000, 0.5000)  8 Pt 2.77-2.99, 5 Au 2.82-2.90
Au (0.6667, 0.3333, 0.0000)  9 Pt 2.73-2.90, 2 Au 2.77
Au (0.0000, 0.0000, 0.5000)  2 Au 2.77, 9 Pt 2.82
Pt (0.0000, 0.6435, 0.5000)  8 Pt 2.77-2.99, 5 Au 2.82-2.90
Pt (0.0000, 0.3109, 0.0000)  4 Au 2.73-2.82, 8 Pt 2.77-2.99
Au (0.3333, 0.6667, 0.0000)  9 Pt 2.73-2.90, 2 Au 2.77
Pt (0.6891, 0.6891, 0.0000)  4 Au 2.73-2.82, 8 Pt 2.77-2.99
Pt (0.3565, 0.3565, 0.5000)  8 Pt 2.77-2.99, 5 Au 2.82-2.90